(1)
Computed, not measured: a relaxed structure of IrRhO at the PBE level of DFT.

```
IrRhO
1.0
11.246 0.000 0.000
0.000 1.366 2.485
0.000 -1.366 2.485
Ir Rh O
2 2 2
direct
0.000 0.000 0.000
0.500 0.167 0.167
0.310 0.492 0.492
0.690 0.492 0.492
0.133 0.500 0.500
0.867 0.500 0.500
```

Results
The spin magnetization comes out at 0.00 μB per cell. As for the space-group type: Amm2. The total energy comes out at -21.31 eV/f.u.

***

(2)
Computed, not measured: a relaxed structure of LiHoHgPb at the PBE level of DFT.

```
LiHoHgPb
1.0
0.000 3.640 3.640
3.640 0.000 3.640
3.640 3.640 0.000
Li Ho Hg Pb
1 1 1 1
direct
0.000 0.000 0.000
0.500 0.500 0.500
0.750 0.750 0.750
0.250 0.250 0.250
```

Results
Its formation energy is -433 meV/atom. The spin magnetization comes out at 0.00 μB per cell. As for the space-group type: F-43m.

***

(3)
Computed, not measured: a relaxed structure of MgSnIrO6 at the PBE level of DFT.

```
MgSnIrO6
1.0
5.273 0.000 0.000
-2.637 4.567 0.000
0.000 0.000 8.880
Mg Sn Ir O
2 2 2 12
direct
0.000 0.000 0.000
0.000 0.000 0.500
0.333 0.667 0.250
0.667 0.333 0.750
0.333 0.667 0.750
0.667 0.333 0.250
0.020 0.358 0.630
0.020 0.663 0.870
0.337 0.358 0.870
0.337 0.980 0.630
0.358 0.020 0.130
0.358 0.337 0.370
0.642 0.663 0.630
0.642 0.980 0.870
0.663 0.020 0.370
0.663 0.642 0.130
0.980 0.337 0.130
0.980 0.642 0.370
```

Results
The spin magnetization comes out at 2.26 μB per cell. As for the space-group type: P-31c. The total energy comes out at -56.18 eV/f.u.

***

(4)
Computed, not measured: a relaxed structure of TiIr4Rh at the PBE level of DFT.

```
TiIr4Rh
1.0
1.929 -5.850 0.000
1.929 5.850 0.000
0.000 0.000 3.865
Ti Ir Rh
1 4 1
direct
0.000 0.000 0.000
0.169 0.831 0.500
0.336 0.664 0.000
0.664 0.336 0.000
0.831 0.169 0.500
0.500 0.500 0.500
```

Results
Its formation energy is -432 meV/atom. The spin magnetization comes out at 0.00 μB per cell. As for the space-group type: Cmmm.

***

(5)
Computed, not measured: a relaxed structure of Ti12Mo6Ru at the PBE level of DFT.

```
Ti12Mo6Ru
1.0
4.728 2.730 4.117
-4.728 2.730 4.117
0.000 -5.459 4.117
Ti Mo Ru
12 6 1
direct
0.022 0.925 0.302
0.075 0.698 0.978
0.121 0.458 0.341
0.302 0.022 0.925
0.341 0.121 0.458
0.458 0.341 0.121
0.542 0.659 0.879
0.659 0.879 0.542
0.698 0.978 0.075
0.879 0.542 0.659
0.925 0.302 0.022
0.978 0.075 0.698
0.228 0.394 0.767
0.233 0.772 0.606
0.394 0.767 0.228
0.606 0.233 0.772
0.767 0.228 0.394
0.772 0.606 0.233
0.500 0.500 0.500
```

Results
Its formation energy is -19 meV/atom. The spin magnetization comes out at 0.00 μB per cell. As for the space-group type: R-3.

***

(6)
Computed, not measured: a relaxed structure of AcCdSnPt3 at the PBE level of DFT.

```
AcCdSnPt3
1.0
3.005 -6.229 0.000
3.005 6.229 0.000
0.000 0.000 7.671
Ac Cd Sn Pt
2 2 2 6
direct
0.167 0.833 0.750
0.833 0.167 0.250
0.430 0.570 0.750
0.570 0.430 0.250
0.127 0.873 0.250
0.873 0.127 0.750
0.229 0.229 0.000
0.229 0.229 0.500
0.338 0.662 0.250
0.662 0.338 0.750
0.771 0.771 0.000
0.771 0.771 0.500
```

Results
Its formation energy is -512 meV/atom. The spin magnetization comes out at 0.00 μB per cell. As for the space-group type: Cmcm.

***

(7)
Computed, not measured: a relaxed structure of NbRuRh6 at the PBE level of DFT.

```
NbRuRh6
1.0
5.475 0.000 0.000
0.000 5.475 0.000
0.000 0.000 3.879
Nb Ru Rh
1 1 6
direct
0.000 0.000 0.000
0.500 0.500 0.000
0.000 0.500 0.000
0.254 0.254 0.500
0.254 0.746 0.500
0.500 0.000 0.000
0.746 0.254 0.500
0.746 0.746 0.500
```

Results
Its formation energy is -195 meV/atom. For the energy above the most stable polymorph in this dataset, the calculation gives 0.0 meV per atom. The spin magnetization comes out at 0.00 μB per cell. As for the space-group type: P4/mmm.

***

(8)
Computed, not measured: a relaxed structure of Sm2Ga2Ru2C at the PBE level of DFT.

```
Sm2Ga2Ru2C
1.0
5.618 -2.078 0.000
5.618 2.078 0.000
-4.498 0.000 5.615
Sm Ga Ru C
2 2 2 1
direct
0.061 0.061 0.291
0.939 0.939 0.709
0.346 0.346 0.300
0.654 0.654 0.700
0.303 0.303 0.908
0.697 0.697 0.092
0.500 0.500 0.000
```

Results
Its formation energy is -538 meV/atom. The spin magnetization comes out at 0.00 μB per cell. As for the space-group type: C2/m.

***

(9)
Computed, not measured: a relaxed structure of Np2SbIr at the PBE level of DFT.

```
Np2SbIr
1.0
3.425 0.000 0.000
0.000 3.425 0.000
0.000 0.000 7.747
Np Sb Ir
2 1 1
direct
0.000 0.000 0.217
0.000 0.000 0.783
0.500 0.500 0.500
0.500 0.500 0.000
```

Results
For the energy above the most stable polymorph in this dataset, the calculation gives 0.0 meV per atom. The spin magnetization comes out at 7.98 μB per cell. As for the space-group type: P4/mmm.

***

(10)
Computed, not measured: a relaxed structure of NaHfBe2Rh at the PBE level of DFT.

```
NaHfBe2Rh
1.0
4.514 0.000 0.000
0.000 4.514 0.000
0.000 0.000 5.089
Na Hf Be Rh
1 1 2 1
direct
0.000 0.000 0.000
0.000 0.000 0.500
0.000 0.500 0.500
0.500 0.000 0.500
0.500 0.500 0.000
```

Results
Its formation energy is 1968 meV/atom. The spin magnetization comes out at 0.00 μB per cell. As for the space-group type: P4/mmm.